# 1
First-principles (PBE) data for crystalline Be3VTc at its relaxed geometry, as listed in the Alexandria database.

The structure in CIF format:
```
data_Be3VTc
_symmetry_space_group_name_H-M 'P 1'
_symmetry_Int_Tables_number 1
_cell_length_a 4.0994
_cell_length_b 4.0994
_cell_length_c 4.0994
_cell_angle_alpha 90.00
_cell_angle_beta 90.00
_cell_angle_gamma 90.00
loop_
_symmetry_equiv_pos_as_xyz
'x,y,z'
loop_
_atom_site_label
_atom_site_fract_x
_atom_site_fract_y
_atom_site_fract_z
_atom_site_occupancy
Be1 0.0000 0.5000 0.0000 1
Be2 0.0000 0.0000 0.5000 1
Be3 0.5000 0.0000 0.0000 1
Tc1 0.0000 0.0000 0.0000 1
V1 0.5000 0.5000 0.5000 1
```

Summary:
The formation energy comes out at 4.31 eV/f.u. The calculation puts the relative energy among the computed polymorphs at 0.000 eV per atom. The total magnetization is 0.41 μB per atom.

=====

# 2
First-principles (PBE) data for crystalline RbZnCl3 at its relaxed geometry, as listed in the Alexandria database.

The structure in CIF format:
```
data_RbZnCl3
_symmetry_space_group_name_H-M 'P 1'
_symmetry_Int_Tables_number 1
_cell_length_a 5.9339
_cell_length_b 9.7989
_cell_length_c 6.5934
_cell_angle_alpha 98.34
_cell_angle_beta 104.59
_cell_angle_gamma 102.04
loop_
_symmetry_equiv_pos_as_xyz
'x,y,z'
loop_
_atom_site_label
_atom_site_fract_x
_atom_site_fract_y
_atom_site_fract_z
_atom_site_occupancy
Zn1 0.0501 0.0317 0.1771 1
Zn2 0.2288 0.3903 0.2705 1
Rb1 0.1311 0.7026 0.6979 1
Rb2 0.6805 0.2133 0.7555 1
Cl1 0.2878 0.9352 0.3976 1
Cl2 0.0294 0.5285 0.0966 1
Cl3 0.7645 0.8956 0.8886 1
Cl4 0.2853 0.2074 0.0321 1
Cl5 0.9348 0.2167 0.3609 1
Cl6 0.5251 0.4957 0.5695 1
```

Summary:
The calculation puts the uncorrected formation energy at -144.47 kJ/mol of atoms. The total magnetization is 0.01 μB per atom.